First-principles (PBE) data for RuPtPb2O6 after structural relaxation, as listed in Alexandria via LeMat-Bulk.

```
RuPtPb2O6
1.0
4.341 0.000 0.000
0.000 5.623 0.000
0.000 0.000 5.623
Ru Pt Pb O
1 1 2 6
Direct
0.602 0.000 0.000
0.625 0.500 0.500
0.062 0.500 0.000
0.062 0.000 0.500
0.696 0.244 0.244
0.696 0.244 0.756
0.141 0.500 0.500
0.170 0.000 0.000
0.696 0.756 0.756
0.696 0.756 0.244
```

volume	13.7	Å³ per atom
crystal system	tetragonal
symmetry	P4mm, No. 99
VASP energy	-5.9749	eV per atom
DOS at the Fermi energy	0.427	states/eV per atom
magnetic moment	2.3	μB/f.u.

First-principles (PBE) data for Br3Cl after structural relaxation, as listed in Alexandria via LeMat-Bulk.

```
Br3Cl
1.0
-0.555 2.508 -3.913
-1.628 -2.446 -3.644
-6.816 1.671 3.590
Br Cl
3 1
Direct
0.500 0.500 0.500
0.768 0.768 0.743
0.232 0.232 0.257
0.000 0.000 0.000
```

volume	38.6	Å³ per atom
crystal system	monoclinic
symmetry	C2/m, No. 12
VASP energy	-1.5703	eV per atom
DOS at the Fermi energy	0.907	states/eV per atom
magnetic moment	0.0	μB/f.u.